# LiDy2Np3N6

An optimized crystal structure of LiDy2Np3N6 (GGA-PBE, the Alexandria database).

a = 7.621 Å, b = 7.621 Å, c = 6.887 Å
α = 102.57°, β = 102.57°, γ = 26.29°
Sites, in units of the cell vectors:
Li: 0.000 0.000 0.000
Dy: 0.335 0.335 0.672
Dy: 0.665 0.665 0.328
Np: 0.000 0.000 0.500
Np: 0.338 0.338 0.163
Np: 0.662 0.662 0.837
N: 0.165 0.165 0.587
N: 0.175 0.175 0.078
N: 0.496 0.496 0.281
N: 0.504 0.504 0.719
N: 0.825 0.825 0.922
N: 0.835 0.835 0.413

Values from the calculation:
* final energy: -114.578 eV for the cell shown
* spin magnetization: 9.60 μB/f.u.
* crystal system: monoclinic
* SG: No. 12

---

# Li2DyPN4

An optimized crystal structure of Li2DyPN4 (GGA-PBE, the Alexandria database).

a = 4.853 Å, b = 4.853 Å, c = 4.853 Å
α = 115.21°, β = 115.21°, γ = 98.51°
Sites, in units of the cell vectors:
Li: 0.250 0.750 0.500
Li: 0.750 0.250 0.500
Dy: 0.000 0.000 0.000
P: 0.500 0.500 0.000
N: 0.173 0.173 0.623
N: 0.451 0.827 0.000
N: 0.549 0.549 0.377
N: 0.827 0.451 0.000

Values from the calculation:
* final energy: -52.323 eV for the cell shown
* spin magnetization: 0.00 μB/f.u.
* crystal system: tetragonal
* SG: No. 121

---

# LiDyPa4N8

An optimized crystal structure of LiDyPa4N8 (GGA-PBE, the Alexandria database).

a = 6.533 Å, b = 6.533 Å, c = 6.533 Å
α = 65.65°, β = 65.65°, γ = 65.65°
Sites, in units of the cell vectors:
Li: 0.000 0.000 0.000
Dy: 0.389 0.389 0.389
Pa: 0.008 0.008 0.510
Pa: 0.008 0.510 0.008
Pa: 0.510 0.008 0.008
Pa: 0.607 0.607 0.607
N: 0.232 0.773 0.773
N: 0.243 0.243 0.243
N: 0.292 0.292 0.784
N: 0.292 0.784 0.292
N: 0.760 0.760 0.760
N: 0.773 0.232 0.773
N: 0.773 0.773 0.232
N: 0.784 0.292 0.292

Values from the calculation:
* final energy: -131.513 eV for the cell shown
* spin magnetization: 0.00 μB/f.u.
* crystal system: trigonal
* SG: No. 160

---

# LiDyPa2N5

An optimized crystal structure of LiDyPa2N5 (GGA-PBE, the Alexandria database).

a = 6.684 Å, b = 6.684 Å, c = 10.320 Å
α = 90.00°, β = 90.00°, γ = 149.45°
Sites, in units of the cell vectors:
Li: 0.012 0.988 0.500
Li: 0.988 0.012 0.000
Dy: 0.349 0.651 0.426
Dy: 0.651 0.349 0.926
Pa: 0.331 0.669 0.114
Pa: 0.401 0.599 0.750
Pa: 0.599 0.401 0.250
Pa: 0.669 0.331 0.614
N: 0.009 0.991 0.808
N: 0.163 0.837 0.092
N: 0.170 0.830 0.475
N: 0.221 0.779 0.759
N: 0.498 0.502 0.576
N: 0.502 0.498 0.076
N: 0.779 0.221 0.259
N: 0.830 0.170 0.975
N: 0.837 0.163 0.592
N: 0.991 0.009 0.308

Values from the calculation:
* final energy: -155.619 eV for the cell shown
* spin magnetization: 0.00 μB/f.u.
* crystal system: orthorhombic
* SG: No. 36

---

# Li3DyPa2N6

An optimized crystal structure of Li3DyPa2N6 (GGA-PBE, the Alexandria database).

a = 6.056 Å, b = 6.056 Å, c = 5.402 Å
α = 100.88°, β = 100.88°, γ = 119.97°
Sites, in units of the cell vectors:
Li: 0.000 0.000 0.000
Li: 0.330 0.670 0.000
Li: 0.670 0.330 0.000
Dy: 0.500 0.500 0.500
Pa: 0.166 0.834 0.500
Pa: 0.834 0.166 0.500
N: 0.077 0.425 0.277
N: 0.227 0.227 0.725
N: 0.425 0.077 0.277
N: 0.575 0.923 0.723
N: 0.773 0.773 0.275
N: 0.923 0.575 0.723

Values from the calculation:
* final energy: -91.605 eV for the cell shown
* spin magnetization: 0.00 μB/f.u.
* crystal system: monoclinic
* SG: No. 12

---

# Li2Dy2PaN4

An optimized crystal structure of Li2Dy2PaN4 (GGA-PBE, the Alexandria database).

a = 6.306 Å, b = 6.306 Å, c = 5.925 Å
α = 108.68°, β = 108.68°, γ = 31.12°
Sites, in units of the cell vectors:
Li: 0.190 0.190 0.001
Li: 0.810 0.810 0.999
Dy: 0.358 0.358 0.435
Dy: 0.642 0.642 0.565
Pa: 0.500 0.500 0.000
N: 0.030 0.030 0.759
N: 0.289 0.289 0.769
N: 0.711 0.711 0.231
N: 0.970 0.970 0.241

Values from the calculation:
* final energy: -65.519 eV for the cell shown
* spin magnetization: 0.00 μB/f.u.
* crystal system: monoclinic
* SG: No. 12

---

It is found that the raw formation energy values, taken in the order of the records, are -1.2238; -0.6477; -1.4579; -1.1861; -1.0265; -1.0766 eV per atom.